(1)
# Zr2CuAg2S6

Crystalline Zr2CuAg2S6 at its relaxed geometry (GGA-PBE, Alexandria).

```
Zr2CuAg2S6
1.0
-1.333 6.004 -1.491
-2.956 -4.688 -3.055
-0.705 -1.157 8.640
Zr S Cu Ag
2 6 1 2
Direct
0.329 0.671 0.500 Zr
0.671 0.329 0.500 Zr
0.113 0.113 0.278 S
0.784 0.458 0.272 S
0.887 0.887 0.722 S
0.458 0.784 0.272 S
0.216 0.542 0.728 S
0.542 0.216 0.728 S
0.000 0.000 0.500 Cu
0.838 0.162 0.000 Ag
0.162 0.838 0.000 Ag
```

## Properties
* E_form (uncorrected): -783 meV per atom
* space group: C2/m

=====

(2)
# Zr3CuAg3S8

Crystalline Zr3CuAg3S8 at its relaxed geometry (GGA-PBE, Alexandria).

```
Zr3CuAg3S8
1.0
7.436 0.000 0.000
-3.718 6.423 -0.041
0.000 -4.277 6.507
S Zr Cu Ag
8 3 1 3
Direct
0.743 0.983 0.721 S
0.760 0.017 0.279 S
0.763 0.525 0.281 S
0.240 0.983 0.721 S
0.237 0.475 0.719 S
0.257 0.514 0.273 S
0.743 0.486 0.727 S
0.257 0.017 0.279 S
0.500 0.000 0.500 Zr
0.500 0.500 0.500 Zr
0.000 0.500 0.500 Zr
0.000 0.000 0.500 Cu
0.500 0.500 0.000 Ag
0.000 0.000 0.000 Ag
0.000 0.500 0.000 Ag
```

## Properties
* E_form (uncorrected): -796 meV per atom
* space group: C2/m

=====

Per-record electronic total energy, eV/atom: -5.480 -5.550